Density functional theory data (PBE) for a relaxed ScTlP2 crystal.

Structure (extended XYZ):
```
8
Lattice="6.021 0.000 0.000 0.000 6.021 0.000 3.010 3.010 6.027" Properties=species:S:1:pos:R:3 pbc="T T T"
Tl 6.021 3.010 3.013
P 7.526 7.457 4.520
Tl 0.000 0.000 0.000
Sc 3.010 6.021 3.013
P 1.574 4.516 1.507
P 4.446 1.505 1.507
P 4.516 4.585 4.520
Sc 3.010 3.010 0.000
```

Results
calculated total energy = -5.215 eV/atom
excess energy over the best structure of this formula in the dataset = 0.193 eV per atom
total magnetization = 0.00 μB/cell
energy of formation from the pure elements = -0.3353 eV per atom